No. 1
PmY6Hg2 (GGA-PBE, optimized geometry); calculated volume = 270 Å³ per cell; ΔE_f = -213.1 meV/atom
1.0
6.359 -1.871 0.000
6.359 1.871 0.000
-3.778 0.000 11.337
Pm Y Hg
1 6 2
Cartesian
0.000 0.000 0.000
-1.068 0.000 3.839
3.495 0.000 1.413
2.397 0.000 4.704
6.544 0.000 6.633
5.446 0.000 9.923
10.009 0.000 7.497
1.516 0.000 8.939
7.425 0.000 2.398

No. 2
Pm3Y2Hg3 (GGA-PBE, optimized geometry); calculated volume = 231 Å³ per cell; ΔE_f = -357.8 meV/atom
1.0
-1.892 2.723 11.200
1.892 -2.723 11.200
1.892 2.723 -11.200
Pm Y Hg
3 2 3
Cartesian
0.000 0.000 0.000
1.892 0.000 8.480
0.000 2.723 2.720
0.000 0.000 5.213
0.000 0.000 17.188
1.892 0.000 2.722
0.000 0.000 11.200
0.000 2.723 8.478

No. 3
Pm2YHg (GGA-PBE, optimized geometry); offset from the most stable computed form = 67 meV per atom; calculated volume = 117 Å³ per cell; ΔE_f = -166.5 meV/atom
1.0
4.856 0.000 0.000
0.000 4.856 0.000
0.000 0.000 4.950
Pm Y Hg
2 1 1
Cartesian
0.000 2.428 0.000
2.428 0.000 0.000
0.000 0.000 2.475
2.428 2.428 2.475